VASP calculation (PBE) on a geometry-optimized Ag2Pb2I structure.

ΔE to the lowest computed polymorph: 1.0 kJ/mol of atoms
E_form (uncorrected): 0.086 eV per atom

The structure in POSCAR format:
```
Ag2Pb2I
1.0
8.377 0.000 0.000
0.000 8.377 0.000
0.000 0.000 3.937
Ag Pb I
4 4 2
Direct
0.868 0.632 0.000
0.368 0.868 0.000
0.132 0.368 0.000
0.632 0.132 0.000
0.847 0.347 0.500
0.347 0.153 0.500
0.153 0.653 0.500
0.653 0.847 0.500
0.000 0.000 0.000
0.500 0.500 0.000
```

---

VASP calculation (PBE) on a geometry-optimized RbNb3Cu structure.

ΔE to the lowest computed polymorph: 0.0 kJ/mol of atoms
Formation energy from the elements: 1666.0 meV per atom

The structure in POSCAR format:
```
RbNb3Cu
1.0
-2.950 -3.680 -1.426
3.573 -1.734 -2.916
1.676 -2.780 3.707
Rb Nb Cu
1 3 1
Direct
0.500 0.500 0.500
0.000 0.500 0.000
0.500 0.000 0.000
0.000 0.000 0.500
0.000 0.000 0.000
```

---

VASP calculation (PBE) on a geometry-optimized Ca3Nd4In4 structure.

Formation energy from the elements: -241.8 meV per atom

The structure in POSCAR format:
```
Ca3Nd4In4
1.0
-4.835 -2.212 -1.486
-1.748 -0.901 7.026
-0.472 9.708 -2.661
Ca Nd In
3 4 4
Direct
0.898 0.898 0.796
0.000 0.500 0.000
0.102 0.102 0.204
0.322 0.556 0.644
0.678 0.912 0.356
0.678 0.444 0.356
0.322 0.088 0.644
0.500 0.205 0.000
0.821 0.321 0.642
0.500 0.795 0.000
0.179 0.679 0.358
```

---

VASP calculation (PBE) on a geometry-optimized Ac2La5YTm structure.

Formation energy from the elements: 99.7 meV per atom

The structure in POSCAR format:
```
Ac2La5YTm
1.0
-5.112 1.972 -1.453
-2.181 -10.692 4.222
-1.188 4.079 9.716
La Ac Tm Y
10 4 2 2
Direct
0.996 0.992 0.508
0.277 0.554 0.697
0.500 0.000 0.258
0.376 0.751 0.008
0.723 0.446 0.197
0.500 0.000 0.758
0.277 0.554 0.319
0.723 0.446 0.819
0.004 0.008 0.008
0.624 0.249 0.508
0.884 0.768 0.772
0.884 0.768 0.245
0.116 0.232 0.745
0.116 0.232 0.272
0.214 0.427 0.008
0.786 0.573 0.508
0.604 0.207 0.008
0.396 0.793 0.508
```

---

VASP calculation (PBE) on a geometry-optimized SbP2Cl structure.

ΔE to the lowest computed polymorph: 74.0 kJ/mol of atoms
E_form (uncorrected): 0.733 eV per atom

The structure in POSCAR format:
```
SbP2Cl
1.0
4.737 0.000 0.000
0.000 4.737 0.000
0.000 0.000 3.474
P Cl Sb
2 1 1
Direct
0.500 0.500 0.000
0.000 0.000 0.000
0.000 0.500 0.500
0.500 0.000 0.500
```

---

VASP calculation (PBE) on a geometry-optimized PrErTm5 structure.

ΔE to the lowest computed polymorph: 78.0 kJ/mol of atoms
Formation energy from the elements: 1009.4 meV per atom

The structure in POSCAR format:
```
PrErTm5
1.0
6.082 0.000 0.000
0.000 7.974 0.000
-3.041 -3.987 5.720
Tm Er Pr
5 1 1
Direct
0.920 0.750 0.501
0.052 0.500 0.000
0.419 0.250 0.499
0.358 0.181 0.000
0.358 0.819 0.000
0.848 0.000 0.000
0.576 0.500 0.000
```

---

VASP calculation (PBE) on a geometry-optimized Mn2AsOs structure.

Formation energy from the elements: 139.1 meV per atom

The structure in POSCAR format:
```
Mn2AsOs
1.0
-2.537 -1.238 -2.515
1.919 0.143 -2.006
3.292 -4.665 -1.025
As Mn Os
1 2 1
Direct
0.500 0.750 0.750
0.000 0.508 0.493
0.000 0.992 0.007
0.500 0.250 0.250
```

---

VASP calculation (PBE) on a geometry-optimized PrGdIn4 structure.

Formation energy from the elements: -408.5 meV per atom

The structure in POSCAR format:
```
PrGdIn4
1.0
6.069 0.000 0.000
3.034 5.256 0.000
3.034 1.752 4.955
In Pr Gd
4 1 1
Direct
0.125 0.625 0.625
0.625 0.125 0.625
0.625 0.625 0.125
0.625 0.625 0.625
0.250 0.250 0.250
0.000 0.000 0.000
```

---

Calculated magnetization, 0.00 2.50 0.00 0.00 0.00 0.00 4.13 7.59 μB per formula unit (same order as the records).
Calculated D(E_F), 1.551 8.671 9.983 13.130 2.544 8.885 3.802 5.110 states/eV/f.u. (same order as the records).
Calculated energy, -2.8479 -5.3886 -3.5172 -4.7658 -3.4645 -3.5192 -8.4155 -5.3775 eV/atom (same order as the records).